(1)
# CeHo3Er6Th2

A relaxed CeHo3Er6Th2 crystal (PBE-GGA, Alexandria).

abc: 6.1074 6.1074 11.6191
angles: 95.03 95.03 119.99
Atoms (fractional coordinates):
Ce 0.0000 0.0000 0.0000
Ho 0.1669 0.8331 0.5000
Ho 0.5000 0.5000 0.5000
Ho 0.8331 0.1669 0.5000
Er 0.0824 0.4168 0.2472
Er 0.2519 0.2519 0.7525
Er 0.4168 0.0824 0.2472
Er 0.5832 0.9176 0.7528
Er 0.7481 0.7481 0.2475
Er 0.9176 0.5832 0.7528
Th 0.3334 0.6666 0.0000
Th 0.6666 0.3334 0.0000

Computed properties:
- ρ (g/cm³) = 9.4
- magnetic moment (μB per formula unit) = 0.5

---

(2)
# Ce2HoErTl4

A relaxed Ce2HoErTl4 crystal (PBE-GGA, Alexandria).

abc: 9.4120 9.4120 9.4120
angles: 33.52 33.52 33.52
Atoms (fractional coordinates):
Ce 0.2502 0.2502 0.2502
Ce 0.7498 0.7498 0.7498
Ho 0.5000 0.5000 0.5000
Er 0.0000 0.0000 0.0000
Tl 0.1250 0.1250 0.1250
Tl 0.3750 0.3750 0.3750
Tl 0.6250 0.6250 0.6250
Tl 0.8750 0.8750 0.8750

Computed properties:
- ρ (g/cm³) = 10.5
- magnetic moment (μB per formula unit) = 2.2

---

(3)
# CeHo5ErTm2

A relaxed CeHo5ErTm2 crystal (PBE-GGA, Alexandria).

abc: 11.0121 11.0121 9.4820
angles: 90.00 90.00 150.34
Atoms (fractional coordinates):
Ce 0.1907 0.8093 0.5000
Ce 0.8093 0.1907 0.0000
Ho 0.0140 0.9860 0.4915
Ho 0.2673 0.7327 0.8098
Ho 0.3056 0.6944 0.1918
Ho 0.3941 0.6059 0.5235
Ho 0.4708 0.5292 0.2263
Ho 0.5292 0.4708 0.7263
Ho 0.6059 0.3941 0.0235
Ho 0.6944 0.3056 0.6918
Ho 0.7327 0.2673 0.3098
Ho 0.9860 0.0140 0.9915
Er 0.4031 0.5969 0.9066
Er 0.5969 0.4031 0.4066
Tm 0.1136 0.8864 0.8016
Tm 0.1323 0.8677 0.1873
Tm 0.8677 0.1323 0.6873
Tm 0.8864 0.1136 0.3016

Computed properties:
- ρ (g/cm³) = 8.6
- magnetic moment (μB per formula unit) = 0.6

---

(4)
# CeHoErTm

A relaxed CeHoErTm crystal (PBE-GGA, Alexandria).

abc: 5.6048 5.6048 5.6048
angles: 60.00 60.00 60.00
Atoms (fractional coordinates):
Ce 0.0000 0.0000 0.0000
Ho 0.5000 0.5000 0.5000
Er 0.7500 0.7500 0.7500
Tm 0.2500 0.2500 0.2500

Computed properties:
- ρ (g/cm³) = 8.6
- magnetic moment (μB per formula unit) = 0.8

---

(5)
# CeHo3Er6Tm2

A relaxed CeHo3Er6Tm2 crystal (PBE-GGA, Alexandria).

abc: 6.0770 6.0770 11.6368
angles: 94.99 94.99 119.97
Atoms (fractional coordinates):
Ce 0.0000 0.0000 0.0000
Ho 0.1675 0.8325 0.5000
Ho 0.5000 0.5000 0.5000
Ho 0.8325 0.1675 0.5000
Er 0.0837 0.4153 0.2497
Er 0.2482 0.2482 0.7501
Er 0.4153 0.0837 0.2497
Er 0.5847 0.9163 0.7503
Er 0.7518 0.7518 0.2499
Er 0.9163 0.5847 0.7503
Tm 0.3333 0.6667 0.0000
Tm 0.6667 0.3333 0.0000

Computed properties:
- ρ (g/cm³) = 9.0
- magnetic moment (μB per formula unit) = 1.1

---

(6)
# CeHo4Er2Tm

A relaxed CeHo4Er2Tm crystal (PBE-GGA, Alexandria).

abc: 4.9670 4.9670 9.9482
angles: 90.00 90.00 90.00
Atoms (fractional coordinates):
Ce 0.0000 0.0000 0.0000
Ho 0.0000 0.5000 0.2497
Ho 0.0000 0.5000 0.7503
Ho 0.5000 0.0000 0.2497
Ho 0.5000 0.0000 0.7503
Er 0.0000 0.0000 0.5000
Er 0.5000 0.5000 0.0000
Tm 0.5000 0.5000 0.5000

Computed properties:
- ρ (g/cm³) = 8.8
- magnetic moment (μB per formula unit) = 0.9

---

(7)
# CeHoEr4Tm2

A relaxed CeHoEr4Tm2 crystal (PBE-GGA, Alexandria).

abc: 4.9589 4.9589 9.9075
angles: 90.00 90.00 90.00
Atoms (fractional coordinates):
Ce 0.0000 0.0000 0.0000
Ho 0.5000 0.5000 0.5000
Er 0.0000 0.5000 0.2494
Er 0.0000 0.5000 0.7506
Er 0.5000 0.0000 0.2494
Er 0.5000 0.0000 0.7506
Tm 0.0000 0.0000 0.5000
Tm 0.5000 0.5000 0.0000

Computed properties:
- ρ (g/cm³) = 8.9
- magnetic moment (μB per formula unit) = 0.9

---

(8)
# CeHo4ErTm2

A relaxed CeHo4ErTm2 crystal (PBE-GGA, Alexandria).

abc: 6.0759 3.5069 11.6455
angles: 90.00 99.94 90.00
Atoms (fractional coordinates):
Ce 0.0000 0.0000 0.0000
Ho 0.2466 0.5000 0.2495
Ho 0.2483 0.0000 0.7502
Ho 0.7517 0.0000 0.2498
Ho 0.7534 0.5000 0.7505
Er 0.0000 0.5000 0.5000
Tm 0.5000 0.0000 0.5000
Tm 0.5000 0.5000 0.0000

Computed properties:
- ρ (g/cm³) = 8.9
- magnetic moment (μB per formula unit) = 0.8

---

(9)
# Ce2Ho6Er3Tm

A relaxed Ce2Ho6Er3Tm crystal (PBE-GGA, Alexandria).

abc: 6.0820 6.0820 11.6508
angles: 95.00 95.00 119.98
Atoms (fractional coordinates):
Ce 0.1665 0.8335 0.0000
Ce 0.8335 0.1665 0.0000
Ho 0.0812 0.4161 0.7505
Ho 0.2489 0.2489 0.2496
Ho 0.4161 0.0812 0.7505
Ho 0.5839 0.9188 0.2495
Ho 0.7511 0.7511 0.7504
Ho 0.9188 0.5839 0.2495
Er 0.0000 0.0000 0.5000
Er 0.3339 0.6661 0.5000
Er 0.6661 0.3339 0.5000
Tm 0.5000 0.5000 0.0000

Computed properties:
- ρ (g/cm³) = 8.8
- magnetic moment (μB per formula unit) = 1.8

---

(10)
# CeHo2Er5Tm

A relaxed CeHo2Er5Tm crystal (PBE-GGA, Alexandria).

abc: 11.0020 11.0020 9.4629
angles: 90.00 90.00 150.35
Atoms (fractional coordinates):
Ce 0.1911 0.8089 0.5000
Ce 0.8089 0.1911 0.0000
Ho 0.1134 0.8866 0.1979
Ho 0.1328 0.8672 0.8121
Ho 0.8672 0.1328 0.3121
Ho 0.8866 0.1134 0.6979
Er 0.0143 0.9857 0.5075
Er 0.2669 0.7331 0.1875
Er 0.3063 0.6937 0.8061
Er 0.3944 0.6056 0.4752
Er 0.4713 0.5287 0.7731
Er 0.5287 0.4713 0.2731
Er 0.6056 0.3944 0.9752
Er 0.6937 0.3063 0.3061
Er 0.7331 0.2669 0.6875
Er 0.9857 0.0143 0.0075
Tm 0.4030 0.5970 0.0910
Tm 0.5970 0.4030 0.5910

Computed properties:
- ρ (g/cm³) = 8.6
- magnetic moment (μB per formula unit) = 0.5

---

no.,E_tot (eV per atom)
1,-5.1253
2,-4.0798
3,-4.5293
4,-4.7334
5,-4.6284
6,-4.6858
7,-4.6674
8,-4.6770
9,-4.7443
10,-4.5364